LiVIr2N | PBE-GGA | optimized geometry

Lattice parameters (Å, degrees): 4.041 4.041 3.803 90.00 90.00 90.00
Positions (direct):
Li 0.000 0.000 0.000
V 0.500 0.500 0.000
Ir 0.000 0.500 0.500
Ir 0.500 0.000 0.500
N 0.000 0.000 0.500

Values from the calculation:
Its formation energy from raw total energies is 0.250 eV/atom. As for the crystal system: tetragonal. The value obtained for the energy is -7.1655 eV/atom.

La2HgRuO8 | PBE-GGA | optimized geometry

Lattice parameters (Å, degrees): 4.828 4.883 7.775 93.76 93.76 94.57
Positions (direct):
La 0.060 0.055 0.252
La 0.940 0.945 0.748
Hg 0.500 0.500 0.000
Ru 0.500 0.500 0.500
O 0.196 0.194 0.981
O 0.225 0.231 0.550
O 0.250 0.612 0.324
O 0.385 0.753 0.672
O 0.615 0.247 0.328
O 0.750 0.388 0.676
O 0.775 0.769 0.450
O 0.804 0.806 0.019

Values from the calculation:
Its formation energy from raw total energies is -1.712 eV/atom. As for the crystal system: triclinic. The value obtained for the energy is -6.6370 eV/atom.

BaLa2O2 | PBE-GGA | optimized geometry

Lattice parameters (Å, degrees): 4.237 4.237 18.941 90.00 90.00 90.00
Positions (direct):
Ba 0.000 0.000 0.000
Ba 0.500 0.500 0.500
La 0.000 0.000 0.309
La 0.000 0.000 0.691
La 0.500 0.500 0.191
La 0.500 0.500 0.809
O 0.000 0.500 0.250
O 0.000 0.500 0.750
O 0.500 0.000 0.250
O 0.500 0.000 0.750

Values from the calculation:
Its formation energy from raw total energies is -2.242 eV/atom. As for the crystal system: tetragonal. The value obtained for the energy is -6.5810 eV/atom.

KLiS | PBE-GGA | optimized geometry

Lattice parameters (Å, degrees): 7.054 7.054 4.706 90.00 90.00 120.00
Positions (direct):
K 0.000 0.569 0.000
K 0.431 0.431 0.000
K 0.569 0.000 0.000
Li 0.000 0.274 0.500
Li 0.274 0.000 0.500
Li 0.726 0.726 0.500
S 0.000 0.000 0.000
S 0.333 0.667 0.500
S 0.667 0.333 0.500

Values from the calculation:
Its formation energy from raw total energies is -1.070 eV/atom. As for the crystal system: hexagonal. The value obtained for the energy is -3.4494 eV/atom.

AcCePt3 | PBE-GGA | optimized geometry

Lattice parameters (Å, degrees): 14.095 14.095 4.324 90.00 90.00 163.65
Positions (direct):
Ac 0.073 0.927 0.750
Ac 0.927 0.073 0.250
Ce 0.203 0.797 0.250
Ce 0.797 0.203 0.750
Pt 0.308 0.692 0.250
Pt 0.374 0.626 0.750
Pt 0.471 0.529 0.750
Pt 0.529 0.471 0.250
Pt 0.626 0.374 0.250
Pt 0.692 0.308 0.750

Values from the calculation:
The calculation puts the formation energy at -1097 meV per atom. As for the crystal system: orthorhombic. The value obtained for the energy is -6.7297 eV/atom.

YBe2Pb | PBE-GGA | optimized geometry

Lattice parameters (Å, degrees): 3.492 3.492 6.403 90.00 90.00 90.00
Positions (direct):
Y 0.000 0.000 0.000
Be 0.500 0.500 0.302
Be 0.500 0.500 0.698
Pb 0.000 0.000 0.500

Values from the calculation:
The calculation puts the formation energy at 366 meV per atom. As for the crystal system: tetragonal. The value obtained for the energy is -4.0407 eV/atom.

Na3Sc3CrTe8 | PBE-GGA | optimized geometry

Lattice parameters (Å, degrees): 9.149 9.149 9.149 53.00 53.00 53.00
Positions (direct):
Na 0.000 0.500 0.500
Na 0.500 0.000 0.500
Na 0.500 0.500 0.000
Sc 0.000 0.000 0.500
Sc 0.000 0.500 0.000
Sc 0.500 0.000 0.000
Cr 0.500 0.500 0.500
Te 0.240 0.240 0.240
Te 0.251 0.730 0.730
Te 0.270 0.270 0.749
Te 0.270 0.749 0.270
Te 0.730 0.251 0.730
Te 0.730 0.730 0.251
Te 0.749 0.270 0.270
Te 0.760 0.760 0.760

Values from the calculation:
Its formation energy from raw total energies is -0.959 eV/atom. As for the crystal system: trigonal. The value obtained for the energy is -4.8060 eV/atom.

CrSbCl2 | PBE-GGA | optimized geometry

Lattice parameters (Å, degrees): 4.462 4.462 8.795 90.00 90.00 90.00
Positions (direct):
Cr 0.000 0.000 0.000
Cr 0.500 0.500 0.500
Sb 0.000 0.000 0.500
Sb 0.500 0.500 0.000
Cl 0.000 0.500 0.250
Cl 0.000 0.500 0.750
Cl 0.500 0.000 0.250
Cl 0.500 0.000 0.750

Values from the calculation:
For the polymorph energy (0 for the lowest one), the calculation gives 633 meV per atom. Its formation energy from raw total energies is 0.231 eV/atom. As for the crystal system: tetragonal. The value obtained for the energy is -4.1290 eV/atom.

Co2SeBr2 | PBE-GGA | optimized geometry

Lattice parameters (Å, degrees): 4.326 4.326 11.373 90.00 90.00 90.00
Positions (direct):
Co 0.000 0.500 0.250
Co 0.000 0.500 0.750
Co 0.500 0.000 0.250
Co 0.500 0.000 0.750
Se 0.000 0.000 0.000
Se 0.500 0.500 0.500
Br 0.000 0.000 0.353
Br 0.000 0.000 0.647
Br 0.500 0.500 0.147
Br 0.500 0.500 0.853

Values from the calculation:
Its formation energy from raw total energies is 0.506 eV/atom. As for the crystal system: tetragonal. The value obtained for the energy is -3.7028 eV/atom.

EuMgCd | PBE-GGA | optimized geometry

Lattice parameters (Å, degrees): 7.320 7.320 7.320 90.00 90.00 90.00
Positions (direct):
Eu 0.000 0.000 0.000
Eu 0.000 0.500 0.500
Eu 0.500 0.000 0.500
Eu 0.500 0.500 0.000
Mg 0.000 0.000 0.500
Mg 0.000 0.500 0.000
Mg 0.500 0.000 0.000
Mg 0.500 0.500 0.500
Cd 0.250 0.250 0.750
Cd 0.250 0.750 0.250
Cd 0.750 0.250 0.250
Cd 0.750 0.750 0.750

Values from the calculation:
The calculation puts the formation energy at -62 meV per atom. As for the crystal system: cubic. The value obtained for the energy is -4.3233 eV/atom.

Ac4GeBiBr2 | PBE-GGA | optimized geometry

Lattice parameters (Å, degrees): 7.764 4.688 8.414 90.00 110.03 90.00
Positions (direct):
Ac 0.228 0.000 0.222
Ac 0.240 0.500 0.772
Ac 0.760 0.500 0.228
Ac 0.772 0.000 0.778
Ge 0.000 0.500 0.000
Bi 0.000 0.000 0.500
Br 0.500 0.000 0.000
Br 0.500 0.500 0.500

Values from the calculation:
Its formation energy from raw total energies is -1.122 eV/atom. As for the crystal system: monoclinic. The value obtained for the energy is -4.6569 eV/atom.

Pa5Ga2Ni | PBE-GGA | optimized geometry

Lattice parameters (Å, degrees): 8.227 8.227 8.227 35.58 35.58 35.58
Positions (direct):
Pa 0.000 0.000 0.000
Pa 0.133 0.133 0.133
Pa 0.260 0.260 0.260
Pa 0.740 0.740 0.740
Pa 0.867 0.867 0.867
Ga 0.393 0.393 0.393
Ga 0.607 0.607 0.607
Ni 0.500 0.500 0.500

Values from the calculation:
The calculation puts the formation energy at -127 meV per atom. As for the crystal system: trigonal. The value obtained for the energy is -7.5417 eV/atom.

Rb3Sr5F12 | PBE-GGA | optimized geometry

Lattice parameters (Å, degrees): 13.589 13.589 13.589 109.47 109.47 109.47
Positions (direct):
Rb 0.125 0.250 0.375
Rb 0.125 0.375 0.750
Rb 0.250 0.375 0.125
Rb 0.250 0.875 0.625
Rb 0.375 0.125 0.250
Rb 0.375 0.750 0.125
Rb 0.625 0.250 0.875
Rb 0.625 0.875 0.750
Rb 0.750 0.125 0.375
Rb 0.750 0.625 0.875
Rb 0.875 0.625 0.250
Rb 0.875 0.750 0.625
Sr 0.000 0.000 0.000
Sr 0.000 0.000 0.500
Sr 0.000 0.500 0.000
Sr 0.000 0.500 0.500
Sr 0.125 0.750 0.875
Sr 0.125 0.875 0.250
Sr 0.250 0.125 0.875
Sr 0.250 0.625 0.375
Sr 0.375 0.250 0.625
Sr 0.375 0.625 0.750
Sr 0.500 0.000 0.000
Sr 0.500 0.000 0.500
Sr 0.500 0.500 0.000
Sr 0.500 0.500 0.500
Sr 0.625 0.375 0.250
Sr 0.625 0.750 0.375
Sr 0.750 0.375 0.625
Sr 0.750 0.875 0.125
Sr 0.875 0.125 0.750
Sr 0.875 0.250 0.125
F 0.018 0.192 0.121
F 0.018 0.326 0.896
F 0.071 0.692 0.674
F 0.071 0.879 0.396
F 0.104 0.621 0.429
F 0.104 0.982 0.674
F 0.121 0.018 0.192
F 0.121 0.604 0.929
F 0.174 0.192 0.571
F 0.174 0.482 0.604
F 0.192 0.121 0.018
F 0.192 0.571 0.174
F 0.308 0.326 0.929
F 0.308 0.482 0.379
F 0.326 0.896 0.018
F 0.326 0.929 0.308
F 0.379 0.308 0.482
F 0.379 0.571 0.896
F 0.396 0.071 0.879
F 0.396 0.826 0.518
F 0.429 0.104 0.621
F 0.429 0.826 0.808
F 0.482 0.379 0.308
F 0.482 0.604 0.174
F 0.518 0.396 0.826
F 0.518 0.621 0.692
F 0.571 0.174 0.192
F 0.571 0.896 0.379
F 0.604 0.174 0.482
F 0.604 0.929 0.121
F 0.621 0.429 0.104
F 0.621 0.692 0.518
F 0.674 0.071 0.692
F 0.674 0.104 0.982
F 0.692 0.518 0.621
F 0.692 0.674 0.071
F 0.808 0.429 0.826
F 0.808 0.879 0.982
F 0.826 0.518 0.396
F 0.826 0.808 0.429
F 0.879 0.396 0.071
F 0.879 0.982 0.808
F 0.896 0.018 0.326
F 0.896 0.379 0.571
F 0.929 0.121 0.604
F 0.929 0.308 0.326
F 0.982 0.674 0.104
F 0.982 0.808 0.879

Values from the calculation:
Its formation energy from raw total energies is -3.349 eV/atom. As for the crystal system: cubic. The value obtained for the energy is -5.0374 eV/atom.

CaGa2Ni | PBE-GGA | optimized geometry

Lattice parameters (Å, degrees): 4.051 10.407 6.980 90.00 90.00 90.00
Positions (direct):
Ca 0.000 0.057 0.250
Ca 0.000 0.943 0.750
Ca 0.500 0.443 0.750
Ca 0.500 0.557 0.250
Ga 0.000 0.339 0.057
Ga 0.000 0.339 0.443
Ga 0.000 0.661 0.557
Ga 0.000 0.661 0.943
Ga 0.500 0.161 0.557
Ga 0.500 0.161 0.943
Ga 0.500 0.839 0.057
Ga 0.500 0.839 0.443
Ni 0.000 0.219 0.750
Ni 0.000 0.781 0.250
Ni 0.500 0.281 0.250
Ni 0.500 0.719 0.750

Values from the calculation:
The calculation puts the formation energy at -502 meV per atom. As for the crystal system: orthorhombic. The value obtained for the energy is -3.9615 eV/atom.

LiTeRu2 | PBE-GGA | optimized geometry

Lattice parameters (Å, degrees): 9.183 3.125 4.568 90.00 109.75 90.00
Positions (direct):
Li 0.000 0.000 0.000
Li 0.500 0.500 0.000
Te 0.267 0.500 0.352
Te 0.767 0.000 0.352
Ru 0.015 0.500 0.506
Ru 0.255 0.000 0.879
Ru 0.515 0.000 0.506
Ru 0.755 0.500 0.879

Values from the calculation:
Its formation energy from raw total energies is 0.129 eV/atom. As for the crystal system: monoclinic. The value obtained for the energy is -5.7730 eV/atom.

RbLaSe2 | PBE-GGA | optimized geometry

Lattice parameters (Å, degrees): 4.448 4.448 24.436 90.00 90.00 120.00
Positions (direct):
Rb 0.000 0.000 0.000
Rb 0.333 0.667 0.667
Rb 0.667 0.333 0.333
La 0.000 0.000 0.830
La 0.333 0.667 0.497
La 0.667 0.333 0.164
Se 0.000 0.000 0.231
Se 0.000 0.000 0.430
Se 0.333 0.667 0.097
Se 0.333 0.667 0.897
Se 0.667 0.333 0.564
Se 0.667 0.333 0.764

Values from the calculation:
Its formation energy from raw total energies is -1.791 eV/atom. As for the crystal system: trigonal. The value obtained for the energy is -5.0075 eV/atom.

KMgPb2 | PBE-GGA | optimized geometry

Lattice parameters (Å, degrees): 10.991 3.597 6.709 90.00 97.63 90.00
Positions (direct):
K 0.000 0.000 0.000
K 0.500 0.500 0.000
Mg 0.238 0.000 0.665
Mg 0.738 0.500 0.665
Pb 0.000 0.500 0.512
Pb 0.256 0.500 0.271
Pb 0.500 0.000 0.512
Pb 0.756 0.000 0.271

Values from the calculation:
The calculation puts the formation energy at -11 meV per atom. As for the crystal system: monoclinic. The value obtained for the energy is -2.5386 eV/atom.

NpInGe2 | PBE-GGA | optimized geometry

Lattice parameters (Å, degrees): 3.847 3.847 6.273 90.00 90.00 90.00
Positions (direct):
Np 0.000 0.000 0.000
In 0.000 0.000 0.500
Ge 0.500 0.500 0.209
Ge 0.500 0.500 0.791

Values from the calculation:
The calculation puts the formation energy at 94 meV per atom. For the polymorph energy (0 for the lowest one), the calculation gives 242 meV per atom. As for the crystal system: tetragonal. The value obtained for the energy is -6.1348 eV/atom.

ZnGePbAu3 | PBE-GGA | optimized geometry

Lattice parameters (Å, degrees): 7.007 7.007 6.143 90.00 90.00 122.66
Positions (direct):
Zn 0.081 0.919 0.750
Zn 0.919 0.081 0.250
Ge 0.360 0.640 0.250
Ge 0.640 0.360 0.750
Pb 0.313 0.687 0.750
Pb 0.687 0.313 0.250
Au 0.150 0.850 0.250
Au 0.281 0.281 0.000
Au 0.281 0.281 0.500
Au 0.719 0.719 0.000
Au 0.719 0.719 0.500
Au 0.850 0.150 0.750

Values from the calculation:
The calculation puts the formation energy at -7 meV per atom. As for the crystal system: orthorhombic. The value obtained for the energy is -3.2458 eV/atom.

Ca2Mg3Cu2 | PBE-GGA | optimized geometry

Lattice parameters (Å, degrees): 8.197 8.197 12.680 120.15 120.15 28.39
Positions (direct):
Ca 0.150 0.150 0.384
Ca 0.179 0.179 0.091
Ca 0.821 0.821 0.909
Ca 0.850 0.850 0.616
Mg 0.116 0.116 0.782
Mg 0.380 0.380 0.415
Mg 0.479 0.479 0.865
Mg 0.521 0.521 0.135
Mg 0.620 0.620 0.585
Mg 0.884 0.884 0.218
Cu 0.256 0.256 0.705
Cu 0.497 0.497 0.667
Cu 0.503 0.503 0.333
Cu 0.744 0.744 0.295

Values from the calculation:
The calculation puts the formation energy at -36 meV per atom. For the polymorph energy (0 for the lowest one), the calculation gives 101 meV per atom. As for the crystal system: monoclinic. The value obtained for the energy is -2.4616 eV/atom.